(1)
Entry from the Open Quantum Materials Database: a relaxed structure of SrPtSeO (PBE).

a = 6.263 Å, b = 6.703 Å, c = 14.844 Å
α = 90.00°, β = 90.00°, γ = 90.00°
Element x y z (fractional)
Se  0.712  0.998  0.073
Se  0.788  0.002  0.573
Se  0.712  0.502  0.573
Se  0.788  0.498  0.073
Se  0.288  0.498  0.427
Se  0.288  0.002  0.927
Se  0.212  0.502  0.927
Se  0.212  0.998  0.427
O  0.496  0.290  0.253
O  0.996  0.290  0.247
O  0.996  0.210  0.747
O  0.004  0.790  0.253
O  0.496  0.210  0.753
O  0.004  0.710  0.753
O  0.504  0.790  0.247
O  0.504  0.710  0.747
Sr  0.253  0.540  0.195
Sr  0.747  0.040  0.305
Sr  0.253  0.960  0.695
Sr  0.747  0.460  0.805
Sr  0.753  0.960  0.805
Sr  0.247  0.040  0.195
Sr  0.247  0.460  0.695
Sr  0.753  0.540  0.305
Pt  0.000  0.780  0.001
Pt  0.500  0.220  0.501
Pt  0.000  0.220  0.999
Pt  0.000  0.720  0.501
Pt  0.500  0.780  0.499
Pt  0.500  0.720  0.999
Pt  0.000  0.280  0.499
Pt  0.500  0.280  0.001

Crystal system: orthorhombic
Space group: Pbca (61)
Polymorph energy (0 for the lowest one) (meV/atom): 43.3

***

(2)
Entry from the Open Quantum Materials Database: a relaxed structure of SrPtSeO (PBE).

a = 7.082 Å, b = 8.045 Å, c = 6.234 Å
α = 90.00°, β = 90.00°, γ = 90.00°
Element x y z (fractional)
Sr  0.555  0.279  0.475
Sr  0.445  0.721  0.975
Sr  0.055  0.721  0.475
Sr  0.945  0.279  0.975
Se  0.501  0.663  0.479
Se  0.999  0.663  0.979
Se  0.499  0.337  0.979
Se  0.001  0.337  0.479
O  0.916  0.005  0.690
O  0.084  0.995  0.190
O  0.416  0.995  0.690
O  0.584  0.005  0.190
Pt  0.326  0.089  0.106
Pt  0.174  0.089  0.606
Pt  0.826  0.911  0.106
Pt  0.674  0.911  0.606

Crystal system: orthorhombic
Space group: Pca2_1 (29)
Polymorph energy (0 for the lowest one) (meV/atom): 353.1

***

(3)
Entry from the Open Quantum Materials Database: a relaxed structure of SrPtSeO (PBE).

a = 4.257 Å, b = 4.257 Å, c = 9.071 Å
α = 90.00°, β = 90.00°, γ = 90.00°
Element x y z (fractional)
Sr  0.750  0.750  0.208
Sr  0.250  0.250  0.792
Se  0.750  0.750  0.855
Se  0.250  0.250  0.145
Pt  0.250  0.250  0.435
Pt  0.750  0.750  0.565
O  0.750  0.250  0.500
O  0.250  0.750  0.500

Crystal system: tetragonal
Space group: P4/nmm (129)
Polymorph energy (0 for the lowest one) (meV/atom): 430.4

***

(4)
Entry from the Open Quantum Materials Database: a relaxed structure of Sr2PtSeO6 (PBE).

a = 6.121 Å, b = 6.121 Å, c = 5.616 Å
α = 117.20°, β = 117.20°, γ = 51.70°
Element x y z (fractional)
Sr  0.307  0.307  0.306
Sr  0.693  0.693  0.694
O  0.194  0.194  0.696
O  0.754  0.244  0.729
O  0.246  0.756  0.271
O  0.806  0.806  0.304
O  0.756  0.246  0.271
O  0.244  0.754  0.729
Se  0.000  0.000  0.500
Pt  0.000  0.000  0.000

Crystal system: monoclinic
Space group: C2/m (12)
E_tot (Ha/atom): -0.2119

***

(5)
Entry from the Open Quantum Materials Database: a relaxed structure of SrPtSeO (PBE).

a = 3.902 Å, b = 3.902 Å, c = 10.228 Å
α = 90.00°, β = 90.00°, γ = 90.00°
Element x y z (fractional)
Se  0.750  0.750  0.835
Se  0.250  0.250  0.165
Pt  0.250  0.750  0.000
Pt  0.750  0.250  0.000
Sr  0.750  0.750  0.369
Sr  0.250  0.250  0.631
O  0.750  0.750  0.599
O  0.250  0.250  0.401

Crystal system: tetragonal
Space group: P4/nmm (129)
Polymorph energy (0 for the lowest one) (meV/atom): 136.5

***

(6)
Entry from the Open Quantum Materials Database: a relaxed structure of SrPtSeO (PBE).

a = 4.938 Å, b = 10.354 Å, c = 6.609 Å
α = 90.00°, β = 90.00°, γ = 90.00°
Element x y z (fractional)
O  0.261  0.348  0.039
O  0.739  0.848  0.461
O  0.761  0.152  0.961
O  0.239  0.652  0.539
Se  0.260  0.602  0.810
Se  0.760  0.898  0.190
Se  0.240  0.398  0.310
Se  0.740  0.102  0.690
Pt  0.135  0.785  0.042
Pt  0.365  0.215  0.542
Pt  0.865  0.285  0.458
Pt  0.635  0.715  0.958
Sr  0.765  0.385  0.933
Sr  0.265  0.115  0.067
Sr  0.235  0.885  0.567
Sr  0.735  0.615  0.433

Crystal system: orthorhombic
Space group: P2_12_12_1 (19)
Polymorph energy (0 for the lowest one) (meV/atom): 83.0

***

(7)
Entry from the Open Quantum Materials Database: a relaxed structure of SrPtSeO (PBE).

a = 4.146 Å, b = 4.146 Å, c = 9.280 Å
α = 90.00°, β = 90.00°, γ = 90.00°
Element x y z (fractional)
Se  0.750  0.250  0.500
Se  0.250  0.750  0.500
Pt  0.750  0.750  0.331
Pt  0.250  0.250  0.669
Sr  0.750  0.750  0.854
Sr  0.250  0.250  0.146
O  0.250  0.250  0.894
O  0.750  0.750  0.106

Crystal system: tetragonal
Space group: P4/nmm (129)
Polymorph energy (0 for the lowest one) (meV/atom): 180.0

***

(8)
Entry from the Open Quantum Materials Database: a relaxed structure of SrPtSeO (PBE).

a = 5.901 Å, b = 5.901 Å, c = 6.407 Å
α = 90.00°, β = 90.00°, γ = 90.00°
Element x y z (fractional)
Se  0.750  0.750  0.818
Se  0.250  0.250  0.182
Sr  0.250  0.750  0.000
Sr  0.750  0.250  0.000
O  0.750  0.750  0.489
O  0.250  0.250  0.511
Pt  0.250  0.250  0.802
Pt  0.750  0.750  0.198

Crystal system: tetragonal
Space group: P4/nmm (129)
Polymorph energy (0 for the lowest one) (meV/atom): 673.0

***

Calculated values (Å³ per cell) of V for the records, taken in order: 623.2; 355.2; 164.4; 142.3; 155.7; 338.0; 159.5; 223.1.